# Sr5In4

An optimized crystal structure of Sr5In4 (PBE-GGA, the Alexandria database).

## Properties
Energy relative to the elements   -171 meV per atom
Symmetry   No. 139
Total moment   0.00 μB/f.u.
E above lowest polymorph   195 meV per atom
D(E_F)   7.70 states/eV/f.u.

Geometry as extended XYZ:
```
9
Lattice="-2.4671 -7.6961 -0.9543 2.9837 5.0732 5.6202 -7.4015 3.3604 -0.3903" Properties=species:S:1:pos:R:3 pbc="T T T"
Sr 0.0000 0.0000 0.0000
Sr -0.6993 -3.5548 1.1779
Sr 1.2159 0.9319 3.4880
Sr -4.6333 1.3290 1.2601
Sr -2.2516 -0.5915 3.0156
In -6.4230 -2.8219 -0.8751
In -3.4456 -1.5138 -0.4695
In -1.5425 2.9446 1.8260
In -2.8753 5.4890 3.4039
```